GGA-PBE CaPt2PbBr, optimized geometry; uncorrected energy = -3.699 eV/atom; space-group type = No. 123; ΔE_f (raw) = 0.19 eV per atom; total moment = 0.000 μB per atom; crystal system = tetragonal
1.0
-3.575 3.333 0.907
-1.467 -0.227 -4.945
-3.152 -3.682 1.105
Ca Pt Br Pb
1 2 1 1
direct
0.000 0.500 0.000
0.500 0.000 0.000
0.000 0.000 0.500
0.000 0.000 0.000
0.500 0.500 0.500